Compound: SmCu3Te3
Source: Alexandria via LeMat-Bulk
Functional: PBE-GGA
Structure: optimized geometry

abc: 8.2953 8.2953 8.2953
angles: 53.75 53.75 53.75
Positions (direct):
Sm1 0.1639 0.1639 0.1639
Sm2 0.8361 0.8361 0.8361
Cu1 0.0218 0.3589 0.7459
Cu2 0.2541 0.9782 0.6411
Cu3 0.3589 0.7459 0.0218
Cu4 0.6411 0.2541 0.9782
Cu5 0.7459 0.0218 0.3589
Cu6 0.9782 0.6411 0.2541
Te1 0.1005 0.7263 0.4217
Te2 0.2737 0.5783 0.8995
Te3 0.4217 0.1005 0.7263
Te4 0.5783 0.8995 0.2737
Te5 0.7263 0.4217 0.1005
Te6 0.8995 0.2737 0.5783

Values from the calculation:
ρ = 6.97 g/cm3

=====

Compound: Sm5CuTe4
Source: Alexandria via LeMat-Bulk
Functional: PBE-GGA
Structure: optimized geometry

abc: 7.5972 7.5972 7.5972
angles: 99.73 99.73 131.44
Positions (direct):
Sm1 0.0000 0.0000 0.0000
Sm2 0.2221 0.5976 0.8196
Sm3 0.4024 0.2221 0.6245
Sm4 0.5976 0.7779 0.3755
Sm5 0.7779 0.4024 0.1804
Cu1 0.5000 0.5000 0.0000
Te1 0.0901 0.3061 0.3962
Te2 0.3061 0.9099 0.2161
Te3 0.6939 0.0901 0.7839
Te4 0.9099 0.6939 0.6038

Values from the calculation:
ρ = 7.35 g/cm3
Density of states at the Fermi level = 5.653 states/eV/cell

=====

no.,raw formation energy (eV/atom),magnetic moment (μB per atom)
1,-0.52,0.000
2,-1.15,0.000